This record from the Alexandria database describes a relaxed structure of LiZn2In. The functional is GGA-PBE.

## Properties
Space-group type: I-4m2
Calculated formation energy, meV/atom: -103
DFT total energy, Ry/atom: -0.1399

abc: 4.994 4.994 4.994
angles: 130.62 130.61 72.43
Positions (direct):
Zn: 0.000 0.000 0.000
Zn: 0.250 0.750 0.500
Li: 0.750 0.250 0.500
In: 0.500 0.500 0.000